Record 1
This record from the Alexandria database describes HfTlHS2 after structural relaxation. The functional is GGA-PBE.

```
data_HfTlHS2
_chemical_formula_sum 'Hf1 Tl1 H1 S2'
_space_group_name_H-M_alt 'P 1'
_space_group_IT_number 1
_space_group_name_Hall 'P 1'
_cell_length_a 5.023
_cell_length_b 5.023
_cell_length_c 4.108
_cell_angle_alpha 90.00
_cell_angle_beta 90.00
_cell_angle_gamma 90.00
loop_
_atom_site_label
_atom_site_type_symbol
_atom_site_fract_x
_atom_site_fract_y
_atom_site_fract_z
S1 S 0.500 0.000 0.000
S2 S 0.000 0.500 0.000
Tl1 Tl 0.500 0.500 0.500
H1 H 0.000 0.000 0.500
Hf1 Hf 0.000 0.000 0.000
```

Values from the calculation:
Space-group type = P4/mmm (123)
Uncorrected energy = -5.5325 eV/atom
Density of states at the Fermi level = 0.211 states/eV per cell



Record 2
This record from the Alexandria database describes HfSbH after structural relaxation. The functional is GGA-PBE.

```
data_HfSbH
_chemical_formula_sum 'Hf4 Sb4 H4'
_space_group_name_H-M_alt 'P 1'
_space_group_IT_number 1
_space_group_name_Hall 'P 1'
_cell_length_a 3.600
_cell_length_b 6.724
_cell_length_c 9.158
_cell_angle_alpha 100.46
_cell_angle_beta 101.34
_cell_angle_gamma 90.00
loop_
_atom_site_label
_atom_site_type_symbol
_atom_site_fract_x
_atom_site_fract_y
_atom_site_fract_z
Hf1 Hf 0.685 0.597 0.371
Sb1 Sb 0.096 0.301 0.191
Hf2 Hf 0.315 0.912 0.630
Sb2 Sb 0.447 0.222 0.893
Sb3 Sb 0.904 0.699 0.809
H1 H 0.246 0.626 0.492
H2 H 0.754 0.879 0.508
Hf3 Hf 0.685 0.088 0.370
Sb4 Sb 0.553 0.778 0.107
Hf4 Hf 0.315 0.403 0.629
H3 H 0.754 0.374 0.508
H4 H 0.246 0.121 0.492
```

Values from the calculation:
Space-group type = C2/m (12)
Uncorrected energy = -6.0446 eV/atom
Density of states at the Fermi level = 5.861 states/eV per cell
Polymorph energy (0 for the lowest one) = 0.292 eV per atom



Record 3
This record from the Alexandria database describes Hf5Sb2H2 after structural relaxation. The functional is GGA-PBE.

```
data_Hf5Sb2H2
_chemical_formula_sum 'Hf5 Sb2 H2'
_space_group_name_H-M_alt 'P 1'
_space_group_IT_number 1
_space_group_name_Hall 'P 1'
_cell_length_a 3.555
_cell_length_b 5.532
_cell_length_c 8.509
_cell_angle_alpha 87.32
_cell_angle_beta 90.00
_cell_angle_gamma 108.74
loop_
_atom_site_label
_atom_site_type_symbol
_atom_site_fract_x
_atom_site_fract_y
_atom_site_fract_z
H1 H 0.810 0.620 0.041
Sb1 Sb 0.554 0.108 0.276
Hf1 Hf 0.862 0.725 0.449
Hf2 Hf 0.138 0.275 0.551
Hf3 Hf 0.276 0.551 0.172
H2 H 0.190 0.380 0.959
Hf4 Hf 0.724 0.449 0.828
Hf5 Hf 0.000 0.000 0.000
Sb2 Sb 0.446 0.892 0.724
```

Values from the calculation:
Space-group type = C2/m (12)
Uncorrected energy = -7.5694 eV/atom
Density of states at the Fermi level = 4.625 states/eV per cell



Record 4
This record from the Alexandria database describes Hf2SbH after structural relaxation. The functional is GGA-PBE.

```
data_Hf2SbH
_chemical_formula_sum 'Hf2 Sb1 H1'
_space_group_name_H-M_alt 'P 1'
_space_group_IT_number 1
_space_group_name_Hall 'P 1'
_cell_length_a 3.079
_cell_length_b 5.189
_cell_length_c 5.189
_cell_angle_alpha 62.20
_cell_angle_beta 73.30
_cell_angle_gamma 73.30
loop_
_atom_site_label
_atom_site_type_symbol
_atom_site_fract_x
_atom_site_fract_y
_atom_site_fract_z
Hf1 Hf 0.936 0.065 0.065
Hf2 Hf 0.564 0.435 0.435
Sb1 Sb 0.750 0.750 0.750
H1 H 0.250 0.250 0.250
```

Values from the calculation:
Space-group type = C2/m (12)
Uncorrected energy = -7.0747 eV/atom
Density of states at the Fermi level = 4.039 states/eV per cell
Polymorph energy (0 for the lowest one) = 0.046 eV per atom



Record 5
This record from the Alexandria database describes Hf4Sb5H after structural relaxation. The functional is GGA-PBE.

```
data_Hf4Sb5H
_chemical_formula_sum 'Hf4 Sb5 H1'
_space_group_name_H-M_alt 'P 1'
_space_group_IT_number 1
_space_group_name_Hall 'P 1'
_cell_length_a 3.171
_cell_length_b 8.543
_cell_length_c 8.514
_cell_angle_alpha 96.14
_cell_angle_beta 100.73
_cell_angle_gamma 90.00
loop_
_atom_site_label
_atom_site_type_symbol
_atom_site_fract_x
_atom_site_fract_y
_atom_site_fract_z
Sb1 Sb 0.843 0.624 0.686
Hf1 Hf 0.008 0.819 0.017
H1 H 0.500 0.000 0.000
Sb2 Sb 0.821 0.212 0.641
Hf2 Hf 0.992 0.181 0.983
Hf3 Hf 0.346 0.926 0.693
Sb3 Sb 0.500 0.500 0.000
Hf4 Hf 0.654 0.074 0.307
Sb4 Sb 0.157 0.376 0.314
Sb5 Sb 0.179 0.788 0.359
```

Values from the calculation:
Space-group type = C2/m (12)
Uncorrected energy = -6.5324 eV/atom
Density of states at the Fermi level = 6.629 states/eV per cell



Record 6
This record from the Alexandria database describes HfSb3H after structural relaxation. The functional is GGA-PBE.

```
data_HfSb3H
_chemical_formula_sum 'Hf1 Sb3 H1'
_space_group_name_H-M_alt 'P 1'
_space_group_IT_number 1
_space_group_name_Hall 'P 1'
_cell_length_a 4.679
_cell_length_b 4.679
_cell_length_c 4.679
_cell_angle_alpha 90.00
_cell_angle_beta 90.00
_cell_angle_gamma 90.00
loop_
_atom_site_label
_atom_site_type_symbol
_atom_site_fract_x
_atom_site_fract_y
_atom_site_fract_z
Sb1 Sb 0.000 0.500 0.000
H1 H 0.000 0.000 0.000
Sb2 Sb 0.500 0.000 0.000
Hf1 Hf 0.500 0.500 0.500
Sb3 Sb 0.000 0.000 0.500
```

Values from the calculation:
Space-group type = Pm-3m (221)
Uncorrected energy = -4.7613 eV/atom
Density of states at the Fermi level = 4.433 states/eV per cell
Polymorph energy (0 for the lowest one) = 0.000 eV per atom